A geometry-optimized Na2Mn2NbSe6 structure. Source: the Alexandria database, functional PBE-GGA.

```
Na2Mn2NbSe6
1.0
6.500 0.057 0.030
-3.163 5.678 0.030
-1.186 -2.038 7.045
Na Mn Nb Se
2 2 1 6
direct
0.835 0.165 0.000
0.165 0.835 0.000
0.330 0.670 0.500
0.670 0.330 0.500
0.000 0.000 0.500
0.728 0.728 0.699
0.065 0.401 0.708
0.272 0.272 0.301
0.401 0.065 0.708
0.935 0.599 0.292
0.599 0.935 0.292
```

Results
total moment: 9.0 μB/cell
ΔE_f (raw): -709 meV/atom

---

A geometry-optimized NaSrMn2Nb structure. Source: the Alexandria database, functional PBE-GGA.

```
NaSrMn2Nb
1.0
5.449 0.000 0.000
0.000 5.234 0.000
0.000 0.000 5.449
Sr Nb Mn Na
1 1 2 1
direct
0.000 0.000 0.000
0.000 0.500 0.000
0.000 0.000 0.500
0.500 0.000 0.000
0.500 0.500 0.500
```

Results
total moment: 6.5 μB/cell
E_form: 2.0470 eV per atom

---

What did the second record say?
A geometry-optimized NaSrMn2Nb structure. Source: the Alexandria database, functional PBE-GGA.

```
NaSrMn2Nb
1.0
5.449 0.000 0.000
0.000 5.234 0.000
0.000 0.000 5.449
Sr Nb Mn Na
1 1 2 1
direct
0.000 0.000 0.000
0.000 0.500 0.000
0.000 0.000 0.500
0.500 0.000 0.000
0.500 0.500 0.500
```

Results
total moment: 6.5 μB/cell
E_form: 2.0470 eV per atom